8
Lattice="3.750 0.000 0.000 0.000 3.750 0.000 1.875 1.875 9.109" Properties=species:S:1:pos:R:3 comment="LiPd2Pt PBE relaxed" delta_e_f_ev_per_atom=0.02 density_g_cm3=10.75 volume_a3_per_cell=128 pbc="T T T"
Li 1.875 1.875 0.000
Li 1.875 3.750 4.555
Pd 2.812 0.938 2.277
Pd 0.939 2.813 2.277
Pd 4.688 4.687 6.832
Pd 2.813 2.814 6.832
Pt 3.750 1.875 4.555
Pt 0.000 0.000 0.000



5
Lattice="3.838 0.000 0.000 0.000 4.058 0.000 0.000 0.000 3.838" Properties=species:S:1:pos:R:3 comment="LiAlFe2Co PBE relaxed" delta_e_f_ev_per_atom=1.13 density_g_cm3=5.68 volume_a3_per_cell=60 pbc="T T T"
Fe 0.000 0.000 1.919
Fe 1.919 0.000 0.000
Co 1.919 2.029 1.919
Al 0.000 2.029 0.000
Li 0.000 0.000 0.000



20
Lattice="-1.460 -3.075 12.342 -5.661 -5.383 3.835 -0.484 -4.955 -7.138" Properties=species:S:1:pos:R:3 comment="RbAsO3 PBE relaxed" density_g_cm3=3.84 total_energy_ev_per_atom=-5.509 volume_a3_per_cell=360 pbc="T T T"
O -3.262 -6.125 3.557
O -4.215 -7.534 -0.846
O -2.906 -5.058 5.911
O -5.741 -10.411 4.898
O -3.390 -5.879 9.886
O -1.864 -3.002 4.142
O -0.539 -4.718 -5.913
O -4.344 -7.288 5.483
O -7.067 -8.694 14.953
O -1.249 -1.960 0.239
O -4.699 -8.355 3.129
O -6.356 -11.453 8.801
As -2.487 -6.719 5.070
As -3.233 -3.523 4.983
As -4.372 -9.889 4.057
As -5.118 -6.694 3.970
Rb -5.674 -9.963 0.674
Rb -2.701 -4.435 1.388
Rb -1.931 -3.449 8.366
Rb -4.904 -8.977 7.652



12
Lattice="-0.685 5.729 -2.378 -2.018 -3.393 -4.828 -3.568 0.537 5.087" Properties=species:S:1:pos:R:3 comment="Ce2UC3 PBE relaxed" delta_e_f_ev_per_atom=-0.14 density_g_cm3=9.25 volume_a3_per_cell=199 pbc="T T T"
U -2.833 -0.328 -1.304
U -3.438 3.201 -0.815
C -4.508 3.411 -2.896
C -1.009 -1.696 -2.414
C -4.387 1.110 -0.286
C -2.127 3.133 1.355
C -1.884 1.763 -1.833
C -1.764 -0.538 0.777
Ce -3.356 0.997 2.040
Ce -2.916 1.876 -4.159
Ce -2.315 -1.642 -4.620
Ce -3.957 4.516 2.501



10
Lattice="4.256 0.000 0.000 0.000 4.256 0.000 0.000 0.000 10.809" Properties=species:S:1:pos:R:3 comment="CaPm2Si3Pt4 PBE relaxed" density_g_cm3=10.13 total_energy_ev_per_atom=-6.180 volume_a3_per_cell=196 pbc="T T T"
Pt 2.128 0.000 7.157
Pt 0.000 0.000 0.000
Pt 2.128 2.128 0.000
Pt 0.000 2.128 3.652
Pm 0.000 2.128 8.329
Pm 2.128 0.000 2.480
Ca 2.128 2.128 5.404
Si 0.000 2.128 1.281
Si 0.000 0.000 5.404
Si 2.128 0.000 9.528



11
Lattice="6.090 0.285 -0.875 -1.872 7.747 -3.351 0.223 -0.164 8.641" Properties=species:S:1:pos:R:3 comment="Ac8MgOs2 PBE relaxed" delta_e_f_ev_per_atom=0.05 density_g_cm3=8.99 volume_a3_per_cell=410 pbc="T T T"
Ac 1.027 7.238 2.277
Ac 3.785 4.828 2.524
Ac 1.580 5.151 5.440
Ac 0.653 3.099 1.930
Ac 5.776 2.143 4.742
Ac 2.846 2.758 -0.994
Ac 3.398 0.673 2.166
Ac 4.743 6.047 -1.176
Mg -0.006 0.033 0.023
Os 1.801 5.528 -0.158
Os 2.632 2.386 4.604



5
Lattice="3.554 0.000 0.000 0.000 3.554 0.000 0.000 0.000 3.554" Properties=species:S:1:pos:R:3 comment="HfH3Pd PBE relaxed" density_g_cm3=10.65 total_energy_ev_per_atom=-5.119 volume_a3_per_cell=45 pbc="T T T"
Pd 0.000 0.000 0.000
H 1.777 0.000 0.000
H 0.000 1.777 0.000
H 0.000 0.000 1.777
Hf 1.777 1.777 1.777



8
Lattice="-0.305 -4.208 -1.556 7.693 -0.885 0.885 -3.622 -2.160 6.552" Properties=species:S:1:pos:R:3 comment="CePrSm2Sb4 PBE relaxed" density_g_cm3=6.89 total_energy_ev_per_atom=-5.730 volume_a3_per_cell=258 pbc="T T T"
Sb 4.844 -1.206 2.312
Sb -0.773 -1.839 5.125
Sb 0.885 -2.876 1.106
Sb 2.881 -4.377 4.775
Pr 0.000 0.000 0.000
Sm -1.964 -3.184 2.498
Sm 2.036 -1.522 3.718
Ce 3.694 -2.546 -0.335



10
Lattice="7.919 0.000 0.000 0.000 7.919 0.000 0.000 0.000 3.059" Properties=species:S:1:pos:R:3 comment="BaNi2Au2 PBE relaxed" delta_e_f_ev_per_atom=0.12 density_g_cm3=11.23 volume_a3_per_cell=192 pbc="T T T"
Ni 6.648 2.688 1.529
Ni 5.231 6.648 1.529
Ni 1.272 5.231 1.529
Ni 2.688 1.272 1.529
Au 6.886 4.993 0.000
Au 2.926 6.886 0.000
Au 4.993 1.033 0.000
Au 1.033 2.926 0.000
Ba 0.000 0.000 0.000
Ba 3.960 3.960 0.000



4
Lattice="-1.829 -3.690 1.811 0.612 -0.904 4.364 -3.437 0.374 2.878" Properties=species:S:1:pos:R:3 comment="CuWSe2 PBE relaxed" density_g_cm3=10.45 total_energy_ev_per_atom=-5.600 volume_a3_per_cell=64 pbc="T T T"
Se -3.491 -3.165 6.790
Se -1.164 -1.055 2.263
Cu 0.000 0.000 0.000
W -2.327 -2.110 4.527